{"formula": "MnSe2Br", "functional": "PBE", "state": "relaxed", "e_form_raw_ev_per_atom": 0.497, "polymorph_energy_mev_per_atom": 858, "energy_ev_per_atom": -3.9564, "lattice": [[-0.508, 5.058, -0.896], [-3.992, 0.179, 3.267], [1.990, 0.625, 2.397]], "species": ["Br", "Mn", "Se", "Se"], "frac_coords": [[0.500, 0.000, 0.500], [0.000, 0.500, 0.500], [0.000, 0.000, 0.000], [0.500, 0.500, 0.000]]}

{"formula": "LiZn12Ag6", "functional": "PBE", "state": "relaxed", "formation_energy_kj_per_mol_atoms": -4.3, "energy_ev_per_atom": -1.8499, "lattice": [[0.171, -5.997, -3.030], [5.106, 2.132, -3.815], [4.324, -2.174, 4.664]], "species": ["Li", "Zn", "Zn", "Zn", "Zn", "Zn", "Zn", "Zn", "Zn", "Zn", "Zn", "Zn", "Zn", "Ag", "Ag", "Ag", "Ag", "Ag", "Ag"], "frac_coords": [[0.000, 0.000, 0.000], [0.794, 0.532, 0.444], [0.444, 0.794, 0.532], [0.532, 0.444, 0.794], [0.206, 0.468, 0.556], [0.556, 0.206, 0.468], [0.468, 0.556, 0.206], [0.053, 0.146, 0.370], [0.854, 0.630, 0.947], [0.630, 0.947, 0.854], [0.947, 0.854, 0.630], [0.146, 0.370, 0.053], [0.370, 0.053, 0.146], [0.721, 0.883, 0.266], [0.734, 0.279, 0.117], [0.117, 0.734, 0.279], [0.279, 0.117, 0.734], [0.266, 0.721, 0.883], [0.883, 0.266, 0.721]]}

{"formula": "In2ReTe", "functional": "PBE", "state": "relaxed", "e_form_raw_ev_per_atom": 0.481, "energy_ev_per_atom": -4.7853, "lattice": [[4.556, 0.000, 0.000], [0.000, 3.737, 0.020], [0.000, 1.840, 5.274]], "species": ["In", "In", "Re", "Te"], "frac_coords": [[0.000, 0.966, 0.942], [0.500, 0.280, 0.314], [0.000, 0.695, 0.484], [0.500, 0.558, 0.759]]}

{"formula": "YV3", "functional": "PBE", "state": "relaxed", "formation_energy_kj_per_mol_atoms": 48.0, "energy_ev_per_atom": -7.9570, "lattice": [[-0.437, -2.137, 2.484], [-2.912, -2.153, -2.365], [3.709, -2.948, -1.883]], "species": ["Y", "V", "V", "V"], "frac_coords": [[0.000, 0.500, 0.356], [0.000, 0.000, 0.907], [0.500, 0.000, 0.556], [0.500, 0.500, 0.847]]}